[1]
Below is Sc3As2H2 after structural relaxation, with properties calculated at the GGA-PBE level.

Properties
Total magnetization in μB per atom: 0.000
Electronic total energy in eV per atom: -5.8780

a b c (Å): 7.2605 6.3966 5.5766
angles (deg): 90.00 61.13 90.00
Atoms (fractional coordinates):
H: 0.8559 0.8492 0.3430
H: 0.6441 0.3492 0.6570
H: 0.1441 0.1508 0.6570
H: 0.3559 0.6508 0.3430
As: 0.3822 0.8028 0.7814
As: 0.8822 0.6972 0.7814
As: 0.6178 0.1972 0.2186
As: 0.1178 0.3028 0.2186
Sc: 0.2178 0.4500 0.6465
Sc: 0.5000 0.5000 0.0000
Sc: 0.7178 0.0500 0.6465
Sc: 0.2822 0.9500 0.3535
Sc: 0.0000 0.0000 0.0000
Sc: 0.7822 0.5500 0.3535

=====

[2]
Below is Sc3As2H after structural relaxation, with properties calculated at the GGA-PBE level.

Properties
Total magnetization in μB per atom: 0.000
Electronic total energy in eV per atom: -6.2104

a b c (Å): 5.3465 7.6699 6.3973
angles (deg): 107.41 114.70 90.00
Atoms (fractional coordinates):
Sc: 0.8362 0.9172 0.6700
Sc: 0.4527 0.2500 0.0000
Sc: 0.1638 0.0828 0.3300
Sc: 0.5473 0.7500 0.0000
Sc: 0.8338 0.4172 0.6700
Sc: 0.1662 0.5828 0.3300
H: 0.0421 0.2500 0.0000
H: 0.9579 0.7500 0.0000
As: 0.6666 0.0840 0.3362
As: 0.3304 0.4160 0.6638
As: 0.6696 0.5840 0.3362
As: 0.3334 0.9160 0.6638

=====

Q: What is the total magnetization in the first record?
A: 0.000 μB per atom